A geometry-optimized FeCoBr2 structure, computed with PBE.

Mass density (g cm⁻³): 5.65
SG: Pmmm, No. 47
Uncorrected formation energy (eV per atom): 0.595
ΔE to the lowest computed polymorph (meV/atom): 613.1
Energy (eV per cell): -16.53
Calculated volume (Å³ per atom): 20.17
Crystal system: orthorhombic
M_tot (μB per cell): 5.0

abc: 3.3186 3.8844 6.2590
angles: 90.00 90.00 90.00
Last column: nearest neighbours and their distance in Å.
Positions (direct):
Fe 0.0000 0.0000 0.0000  4 Br 2.55
Co 0.5000 0.0000 0.5000  4 Br 2.55
Br 0.0000 0.5000 0.5000  4 Co 2.55
Br 0.5000 0.5000 0.0000  4 Fe 2.55

---

A geometry-optimized La2ZnPtPb structure, computed with PBE.

Mass density (g cm⁻³): 8.27
SG: P4/mmm, No. 123
ΔE to the lowest computed polymorph (meV/atom): 554.4
Energy (eV per cell): -21.88
Calculated volume (Å³ per atom): 29.95
Crystal system: tetragonal
DFT formation energy (eV/f.u.): -1.007
M_tot (μB per cell): 0.0

abc: 5.6688 5.6688 4.6606
angles: 90.00 90.00 90.00
Last column: nearest neighbours and their distance in Å.
Positions (direct):
La 0.0000 0.5000 0.0000  2 Zn 2.83
La 0.5000 0.0000 0.0000  2 Zn 2.83
Zn 0.0000 0.0000 0.0000  2 Pt 2.33
Pt 0.0000 0.0000 0.5000  2 Zn 2.33
Pb 0.5000 0.5000 0.5000  8 La 3.67, 4 Pt 4.01

---

A geometry-optimized TaGePO2 structure, computed with PBE.

Mass density (g cm⁻³): 7.49
SG: P4/mmm, No. 123
Uncorrected formation energy (eV per atom): -0.218
ΔE to the lowest computed polymorph (meV/atom): 1092.6
Energy (eV per cell): -32.89
Calculated volume (Å³ per atom): 14.03
Crystal system: tetragonal
M_tot (μB per cell): 1.3

abc: 3.6487 3.6487 5.2699
angles: 90.00 90.00 90.00
Last column: nearest neighbours and their distance in Å.
Positions (direct):
Ta 0.0000 0.0000 0.0000  4 P 2.58
Ge 0.5000 0.5000 0.5000  4 O 1.82
P 0.5000 0.5000 0.0000  4 Ta 2.58, 2 Ge 2.63
O 0.0000 0.5000 0.5000  2 Ge 1.82
O 0.5000 0.0000 0.5000  2 Ge 1.82

---

A geometry-optimized Ba2C structure, computed with PBE.

Mass density (g cm⁻³): 4.18
SG: Fd-3m, No. 227
ΔE to the lowest computed polymorph (meV/atom): 2179.8
Energy (eV per cell): -12.24
Calculated volume (Å³ per atom): 37.98
Crystal system: cubic
DFT formation energy (eV/f.u.): 6.948
M_tot (μB per cell): 2.1

abc: 6.8558 6.8558 6.8558
angles: 60.00 60.00 60.00
Last column: nearest neighbours and their distance in Å.
Positions (direct):
Ba 0.0000 0.0000 0.0000  6 Ba 3.43
Ba 0.0000 0.0000 0.5000  6 Ba 3.43
Ba 0.0000 0.5000 0.0000  6 Ba 3.43
Ba 0.5000 0.0000 0.0000  6 Ba 3.43
C 0.3750 0.3750 0.3750  12 Ba 4.02, 4 C 4.20
C 0.6250 0.6250 0.6250  12 Ba 4.02, 4 C 4.20

---

A geometry-optimized CuTe2F structure, computed with PBE.

Mass density (g cm⁻³): 6.47
SG: I-42d, No. 122
Uncorrected formation energy (eV per atom): -0.275
ΔE to the lowest computed polymorph (meV/atom): 215.6
Energy (eV per cell): -53.40
Calculated volume (Å³ per atom): 21.68
Crystal system: tetragonal
M_tot (μB per cell): 0.0

abc: 4.5063 4.5063 17.0810
angles: 90.00 90.00 90.00
Last column: nearest neighbours and their distance in Å.
Positions (direct):
Cu 0.0000 0.0000 0.0000  4 Te 2.63
Cu 0.0000 0.5000 0.2500  4 Te 2.63
Cu 0.5000 0.0000 0.7500  4 Te 2.63
Cu 0.5000 0.5000 0.5000  4 Te 2.63
Te 0.2335 0.2500 0.1250  2 Cu 2.63, 2 F 2.70
Te 0.2500 0.7335 0.3750  2 Cu 2.63, 2 F 2.70
Te 0.2500 0.7665 0.8750  2 Cu 2.63, 2 F 2.70
Te 0.2665 0.2500 0.6250  2 Cu 2.63, 2 F 2.70
Te 0.7335 0.7500 0.6250  2 Cu 2.63, 2 F 2.70
Te 0.7500 0.2335 0.8750  2 Cu 2.63, 2 F 2.70
Te 0.7500 0.2665 0.3750  2 Cu 2.63, 2 F 2.70
Te 0.7665 0.7500 0.1250  2 Cu 2.63, 2 F 2.70
F 0.0000 0.0000 0.5000  4 Te 2.70
F 0.0000 0.5000 0.7500  4 Te 2.70
F 0.5000 0.0000 0.2500  4 Te 2.70
F 0.5000 0.5000 0.0000  4 Te 2.70

---

A geometry-optimized Er2CoSn3 structure, computed with PBE.

Mass density (g cm⁻³): 9.07
SG: C2/c, No. 15
ΔE to the lowest computed polymorph (meV/atom): 37.1
Energy (eV per cell): -61.64
Calculated volume (Å³ per atom): 22.86
Crystal system: monoclinic
DFT formation energy (eV/f.u.): -2.580
M_tot (μB per cell): 0.0

abc: 5.9397 5.9397 8.1568
angles: 102.45 102.45 88.08
Last column: nearest neighbours and their distance in Å.
Positions (direct):
Er 0.0754 0.6392 0.8615  2 Co 3.08-3.41, 8 Sn 3.11-3.37, 2 Er 3.35-3.45
Er 0.3608 0.9246 0.6385  2 Co 3.08-3.41, 8 Sn 3.11-3.37, 2 Er 3.35-3.45
Er 0.6392 0.0754 0.3615  2 Co 3.08-3.41, 8 Sn 3.11-3.37, 2 Er 3.35-3.45
Er 0.9246 0.3608 0.1385  2 Co 3.08-3.41, 8 Sn 3.11-3.37, 2 Er 3.35-3.45
Co 0.4050 0.5950 0.2500  3 Sn 2.54-2.57
Co 0.5950 0.4050 0.7500  3 Sn 2.54-2.57
Sn 0.0972 0.9028 0.2500  1 Co 2.54
Sn 0.2498 0.3953 0.4976  2 Co 2.57-2.87
Sn 0.3953 0.2498 0.9976  2 Co 2.57-2.87
Sn 0.6047 0.7502 0.0024  2 Co 2.57-2.87
Sn 0.7502 0.6047 0.5024  2 Co 2.57-2.87
Sn 0.9028 0.0972 0.7500  1 Co 2.54

---

A geometry-optimized Pm7Pr2Er3 structure, computed with PBE.

Mass density (g cm⁻³): 7.32
SG: Cmmm, No. 65
ΔE to the lowest computed polymorph (meV/atom): 48.3
Energy (eV per cell): -55.13
Calculated volume (Å³ per atom): 34.02
Crystal system: orthorhombic
DFT formation energy (eV/f.u.): 1.376
M_tot (μB per cell): 0.0

abc: 19.4316 19.4316 3.6581
angles: 90.00 90.00 162.81
Last column: nearest neighbours and their distance in Å.
Positions (direct):
Pm 0.0000 0.0000 0.0000  6 Pm 3.29-3.66, 4 Er 3.43
Pm 0.0713 0.9287 0.5000  8 Pm 3.29-3.66, 2 Pr 3.48
Pm 0.2314 0.7686 0.0000  1 Pr 3.19, 2 Pm 3.24
Pm 0.4098 0.5902 0.0000  6 Pm 3.51-3.66, 2 Pr 3.66, 2 Er 3.92
Pm 0.5902 0.4098 0.0000  6 Pm 3.51-3.66, 2 Pr 3.66, 2 Er 3.92
Pm 0.7686 0.2314 0.0000  1 Pr 3.19, 2 Pm 3.24
Pm 0.9287 0.0713 0.5000  8 Pm 3.29-3.66, 2 Pr 3.48
Pr 0.1484 0.8516 0.0000  3 Pm 3.19-3.48
Pr 0.8516 0.1484 0.0000  3 Pm 3.19-3.48
Er 0.3143 0.6857 0.5000  2 Er 3.66, 6 Pm 3.67-3.86, 4 Pr 3.72
Er 0.5000 0.5000 0.5000  4 Pm 3.43, 2 Er 3.66
Er 0.6857 0.3143 0.5000  2 Er 3.66, 6 Pm 3.67-3.86, 4 Pr 3.72

---

A geometry-optimized La2Ho5Er12 structure, computed with PBE.

Mass density (g cm⁻³): 8.44
SG: C2/m, No. 12
ΔE to the lowest computed polymorph (meV/atom): 112.2
Energy (eV per cell): -84.84
Calculated volume (Å³ per atom): 32.19
Crystal system: monoclinic
DFT formation energy (eV/f.u.): 2.653
M_tot (μB per cell): 0.0

abc: 9.1173 9.1173 8.4566
angles: 90.92 90.92 60.49
Last column: nearest neighbours and their distance in Å.
Positions (direct):
La 0.1904 0.8096 0.0000  8 Er 3.38-3.61, 1 La 3.50, 2 Ho 3.56
La 0.8096 0.1904 0.0000  8 Er 3.38-3.61, 1 La 3.50, 2 Ho 3.56
Ho 0.1967 0.1967 0.0063  8 Er 3.38-3.66, 2 La 3.56, 1 Ho 3.66
Ho 0.2664 0.2664 0.4214  10 Er 3.36-3.68, 2 Ho 3.66-3.73
Ho 0.5000 0.5000 0.5000  10 Er 3.55-3.71, 2 Ho 3.73
Ho 0.7336 0.7336 0.5786  10 Er 3.36-3.68, 2 Ho 3.66-3.73
Ho 0.8033 0.8033 0.9937  8 Er 3.38-3.66, 2 La 3.56, 1 Ho 3.66
Er 0.0571 0.0571 0.3265  2 La 3.38, 2 Ho 3.38-3.52, 7 Er 3.39-3.47
Er 0.0654 0.6827 0.3524  4 Ho 3.36-3.67, 6 Er 3.39-3.63, 1 La 3.61
Er 0.1608 0.5223 0.7526  5 Er 3.32-3.63, 1 La 3.44, 5 Ho 3.45-3.71
Er 0.3173 0.9346 0.6476  4 Ho 3.36-3.67, 6 Er 3.39-3.63, 1 La 3.61
Er 0.4037 0.4037 0.1167  3 Ho 3.38-3.55, 2 La 3.38, 5 Er 3.50-3.65
Er 0.4777 0.8392 0.2474  5 Er 3.32-3.63, 1 La 3.44, 5 Ho 3.45-3.71
Er 0.5223 0.1608 0.7526  5 Er 3.32-3.63, 1 La 3.44, 5 Ho 3.45-3.71
Er 0.5963 0.5963 0.8833  3 Ho 3.38-3.55, 2 La 3.38, 5 Er 3.50-3.65
Er 0.6827 0.0654 0.3524  4 Ho 3.36-3.67, 6 Er 3.39-3.63, 1 La 3.61
Er 0.8392 0.4777 0.2474  5 Er 3.32-3.63, 1 La 3.44, 5 Ho 3.45-3.71
Er 0.9346 0.3173 0.6476  4 Ho 3.36-3.67, 6 Er 3.39-3.63, 1 La 3.61
Er 0.9429 0.9429 0.6735  2 La 3.38, 2 Ho 3.38-3.52, 7 Er 3.39-3.47

---

- Among the records above, which one has the highest energy?
  Ba2C